VASP calculation (GGA-PBE) on an optimized crystal structure of BaPmTlO4.

Properties
Energy relative to the elements, uncorrected ... -2.13 eV/atom
ρ ... 6.32 Mg/m³
E ... -6.255 eV/atom
Size of the total moment ... 0.00 μB per atom

Geometry as CIF:
```
data_BaPmTlO4
_cell_length_a 6.0630
_cell_length_b 6.0103
_cell_length_c 8.3036
_cell_angle_alpha 90.00
_cell_angle_beta 106.88
_cell_angle_gamma 90.00
_space_group_name_H-M_alt 'P 1 21/m 1'
_space_group_IT_number 11
loop_
_space_group_symop_operation_xyz
'x,y,z'
'-x,-y,-z'
'-x,y+1/2,-z'
'x,-y+1/2,z'
loop_
_atom_site_label
_atom_site_fract_x
_atom_site_fract_y
_atom_site_fract_z
Ba1 0.1385 0.2500 0.1654
Pm1 0.2945 0.7500 0.4739
Tl1 0.2707 0.2500 0.7064
O1 0.0027 0.2500 0.8221
O2 0.0358 0.2500 0.4413
O3 0.4846 0.0020 0.3238
```


VASP calculation (GGA-PBE) on an optimized crystal structure of Ba3PmU2O9.

Properties
Energy relative to the elements, uncorrected ... -3.11 eV/atom
ρ ... 7.31 Mg/m³
E ... -8.296 eV/atom
Size of the total moment ... 0.20 μB per atom

Geometry as CIF:
```
data_Ba3PmU2O9
_cell_length_a 6.3158
_cell_length_b 6.3158
_cell_length_c 7.7358
_cell_angle_alpha 90.00
_cell_angle_beta 90.00
_cell_angle_gamma 120.00
_space_group_name_H-M_alt 'P -3 m 1'
_space_group_IT_number 164
_space_group_name_Hall '-P 3 2"'
loop_
_atom_site_label
_atom_site_fract_x
_atom_site_fract_y
_atom_site_fract_z
Ba1 0.0000 0.0000 0.0000
Ba2 0.3333 0.6667 0.6605
Pm1 0.0000 0.0000 0.5000
U1 0.3333 0.6667 0.1651
O1 0.0000 0.5000 0.0000
O2 0.1725 0.3450 0.3261
```


VASP calculation (GGA-PBE) on an optimized crystal structure of BaPmUO6.

Properties
Energy relative to the elements, uncorrected ... -2.94 eV/atom
ρ ... 6.00 Mg/m³
E ... -8.240 eV/atom
Size of the total moment ... 0.11 μB per atom

Geometry as CIF:
```
data_BaPmUO6
_cell_length_a 6.0565
_cell_length_b 6.0565
_cell_length_c 10.7478
_cell_angle_alpha 90.00
_cell_angle_beta 90.00
_cell_angle_gamma 120.00
_space_group_name_H-M_alt 'P -3 1 c'
_space_group_IT_number 163
_space_group_name_Hall '-P 3 2c'
loop_
_atom_site_label
_atom_site_fract_x
_atom_site_fract_y
_atom_site_fract_z
Ba1 0.0000 0.0000 0.0000
Pm1 0.3333 0.6667 0.2500
U1 0.3333 0.6667 0.7500
O1 0.0347 0.3890 0.6472
```